Compound: NaCuNiSe3
Source: OQMD via LeMat-Bulk
Functional: GGA-PBE
Structure: optimized geometry

It has space group P2_1/m (No. 11), with a = 7.264 Å, b = 3.698 Å, c = 9.280 Å, α = 90.00°, β = 108.83° and γ = 90.00°. Symmetry generates all atoms from Na at (0.245, 0.250, 0.204), Cu at (0.429, 0.250, 0.899), Ni at (0.181, 0.750, 0.649), Se at (0.045, 0.750, 0.377), Se at (0.225, 0.750, 0.932) and Se at (0.398, 0.250, 0.632).

The value obtained for the total DFT energy (no corrections) is -3.903 eV/atom. The total magnetic moment comes out at 0.01 μB per formula unit. The calculation puts the volume at 19.7 A^3/atom. The crystal system is monoclinic.

***

Compound: Sn4IrPd3
Source: OQMD via LeMat-Bulk
Functional: GGA-PBE
Structure: optimized geometry

It has space group Pm (No. 6), with a = 3.453 Å, b = 4.179 Å, c = 10.668 Å, α = 90.00°, β = 90.00° and γ = 90.00°. Symmetry generates all atoms from Sn at (0.000, 0.000, 0.000), Sn at (0.104, 0.500, 0.293), Sn at (0.484, 0.500, 0.794), Sn at (0.605, 0.000, 0.489), Ir at (0.607, 0.000, 0.232), Pd at (0.111, 0.500, 0.555), Pd at (0.491, 0.500, 0.054) and Pd at (0.975, 0.000, 0.733).

The value obtained for the total DFT energy (no corrections) is -5.410 eV/atom. The total magnetic moment comes out at 0.01 μB per formula unit. The calculation puts the volume at 19.2 A^3/atom. The crystal system is monoclinic.

***

Compound: Y4CuPbN2
Source: OQMD via LeMat-Bulk
Functional: GGA-PBE
Structure: optimized geometry

It has space group P-6m2 (No. 187), with a = 3.5441 Å, b = 3.5441 Å, c = 14.8124 Å, α = 90.00°, β = 90.00° and γ = 120.00°. Symmetry generates all atoms from Y at (0.0000, 0.0000, 0.1395), Y at (0.6667, 0.3333, 0.3219), Cu at (0.6667, 0.3333, 0.0000), Pb at (0.0000, 0.0000, 0.5000) and N at (0.3333, 0.6667, 0.2406).

The value obtained for the total DFT energy (no corrections) is -7.190 eV/atom. The total magnetic moment comes out at 0.00 μB per formula unit. The calculation puts the volume at 20.1 A^3/atom. The crystal system is hexagonal.

***

Compound: Al2NiPd2
Source: OQMD via LeMat-Bulk
Functional: GGA-PBE
Structure: optimized geometry

It has space group I4/mmm (No. 139), with a = 3.821 Å, b = 3.821 Å, c = 11.069 Å, α = 90.00°, β = 90.00° and γ = 90.00°. Symmetry generates all atoms from Al at (0.000, 0.000, 0.110), Ni at (0.000, 0.000, 0.500) and Pd at (0.000, 0.500, 0.250).

The value obtained for the total DFT energy (no corrections) is -4.900 eV/atom. The total magnetic moment comes out at 0.01 μB per formula unit. The calculation puts the volume at 16.2 A^3/atom. The crystal system is tetragonal.

***

Compound: TaCuGeOs
Source: OQMD via LeMat-Bulk
Functional: GGA-PBE
Structure: optimized geometry

It has space group F-43m (No. 216), with a = 6.147 Å, b = 6.147 Å, c = 6.147 Å, α = 90.00°, β = 90.00° and γ = 90.00°. Symmetry generates all atoms from Ta at (0.000, 0.000, 0.000), Cu at (0.250, 0.250, 0.750), Ge at (0.250, 0.250, 0.250) and Os at (0.000, 0.000, 0.500).

The value obtained for the total DFT energy (no corrections) is -7.718 eV/atom. The total magnetic moment comes out at 0.00 μB per formula unit. The calculation puts the volume at 14.5 A^3/atom. The crystal system is cubic.

***

Compound: BaYCuS3
Source: OQMD via LeMat-Bulk
Functional: GGA-PBE
Structure: optimized geometry

It has space group P2_1/m (No. 11), with a = 8.521 Å, b = 4.012 Å, c = 8.908 Å, α = 90.00°, β = 105.80° and γ = 90.00°. Symmetry generates all atoms from Ba at (0.199, 0.250, 0.246), Y at (0.324, 0.750, 0.839), Cu at (0.083, 0.250, 0.594), S at (0.110, 0.250, 0.863), S at (0.207, 0.750, 0.525) and S at (0.452, 0.750, 0.162).

The value obtained for the total DFT energy (no corrections) is -5.765 eV/atom. The total magnetic moment comes out at 0.00 μB per formula unit. The calculation puts the volume at 24.4 A^3/atom. The crystal system is monoclinic.

***

Which formula does entry 5 have? TaCuGeOs